Density functional theory data (GGA+U) for a relaxed Ti2Mn3Fe3O16 crystal.

abc: 5.7689 5.7689 9.0335
angles: 90.22 90.22 60.18
Fractional coordinates of all 24 atoms:
Ti1 0.0000 0.0000 0.0000
Ti2 0.6677 0.6677 0.5010
Mn1 0.1668 0.1668 0.7145
Mn2 0.5034 0.9977 0.2148
Mn3 0.9977 0.5034 0.2148
Fe1 0.1673 0.6719 0.7137
Fe2 0.5028 0.5028 0.2137
Fe3 0.6719 0.1673 0.7137
O1 0.0016 0.0016 0.6054
O2 0.0026 0.5017 0.6011
O3 0.1672 0.1672 0.1010
O4 0.1685 0.6666 0.1010
O5 0.2941 0.8539 0.8358
O6 0.3345 0.3345 0.3174
O7 0.3356 0.3356 0.8163
O8 0.3758 0.8123 0.3360
O9 0.5012 0.5012 0.6017
O10 0.5017 0.0026 0.6011
O11 0.6666 0.1685 0.1010
O12 0.6683 0.6683 0.1050
O13 0.8123 0.3758 0.3360
O14 0.8152 0.8152 0.3364
O15 0.8539 0.2941 0.8358
O16 0.8557 0.8557 0.8350

Calculated values
VASP energy ... -7.116 eV per atom
M_tot ... 14.97 Bohr magnetons per cell